No. 1
## PuH8Ir2Pt (PBE)

Data for crystalline PuH8Ir2Pt at its relaxed geometry.

a b c (Å): 6.3558 6.3558 6.3558
angles (deg): 43.53 43.53 43.53
Fractional coordinates of all 12 atoms:
Pu1 0.0000 0.0000 0.0000
H1 0.1347 0.4187 0.7545
H2 0.2455 0.8653 0.5813
H3 0.3180 0.3180 0.3180
H4 0.4187 0.7545 0.1347
H5 0.5813 0.2455 0.8653
H6 0.6820 0.6820 0.6820
H7 0.7545 0.1347 0.4187
H8 0.8653 0.5813 0.2455
Ir1 0.2240 0.2240 0.2240
Ir2 0.7760 0.7760 0.7760
Pt1 0.5000 0.5000 0.5000

Calculated values
* density of states at the Fermi level: 15.2 states/eV/cell
* SG: R-3, No. 148
* raw total energy: -5.444 eV per atom



No. 2
## Er3Tm7In2 (PBE)

Data for crystalline Er3Tm7In2 at its relaxed geometry.

a b c (Å): 10.9504 10.9504 10.9504
angles (deg): 34.35 34.35 34.35
Fractional coordinates of all 12 atoms:
Er1 0.0000 0.0000 0.0000
Er2 0.1439 0.1439 0.1439
Er3 0.8561 0.8561 0.8561
Tm1 0.0798 0.5825 0.5825
Tm2 0.4175 0.4175 0.9202
Tm3 0.4175 0.9202 0.4175
Tm4 0.5000 0.5000 0.5000
Tm5 0.5825 0.0798 0.5825
Tm6 0.5825 0.5825 0.0798
Tm7 0.9202 0.4175 0.4175
In1 0.3336 0.3336 0.3336
In2 0.6664 0.6664 0.6664

Calculated values
* density of states at the Fermi level: 21.3 states/eV/cell
* SG: R-3m, No. 166
* raw total energy: -4.097 eV per atom



No. 3
## BaCaFe2 (PBE)

Data for crystalline BaCaFe2 at its relaxed geometry.

a b c (Å): 5.2546 5.2546 3.6906
angles (deg): 90.00 90.00 90.00
Fractional coordinates of all 4 atoms:
Ba1 0.0000 0.0000 0.0000
Ca1 0.5000 0.5000 0.0000
Fe1 0.0000 0.5000 0.5000
Fe2 0.5000 0.0000 0.5000

Calculated values
* density of states at the Fermi level: 7.8 states/eV/cell
* SG: P4/mmm, No. 123
* raw total energy: -4.392 eV per atom
* energy above the most stable polymorph in this dataset: 36.3 kJ per mole of atoms



No. 4
## BaPtI6 (PBE)

Data for crystalline BaPtI6 at its relaxed geometry.

a b c (Å): 7.4325 7.4733 8.2160
angles (deg): 90.33 116.50 119.80
Fractional coordinates of all 8 atoms:
Ba1 0.0000 0.0000 0.0000
Pt1 0.0000 0.5000 0.5000
I1 0.1823 0.4919 0.2803
I2 0.2102 0.3128 0.7208
I3 0.4057 0.8968 0.7223
I4 0.5943 0.1032 0.2777
I5 0.7898 0.6872 0.2792
I6 0.8177 0.5081 0.7197

Calculated values
* SG: P-1, No. 2
* raw total energy: -2.816 eV per atom
* energy above the most stable polymorph in this dataset: 8.1 kJ per mole of atoms



No. 5
## MgSe4 (PBE)

Data for crystalline MgSe4 at its relaxed geometry.

a b c (Å): 5.3819 5.3819 5.3819
angles (deg): 109.47 109.47 109.47
Fractional coordinates of all 5 atoms:
Mg1 0.0000 0.0000 0.0000
Se1 0.0000 0.0000 0.5000
Se2 0.0000 0.5000 0.0000
Se3 0.5000 0.0000 0.0000
Se4 0.5000 0.5000 0.5000

Calculated values
* density of states at the Fermi level: 3.3 states/eV/cell
* SG: Im-3m, No. 229
* raw total energy: -3.117 eV per atom
* energy above the most stable polymorph in this dataset: 29.2 kJ per mole of atoms



No. 6
## Pu2Al12Ir7 (PBE)

Data for crystalline Pu2Al12Ir7 at its relaxed geometry.

a b c (Å): 9.8923 9.8923 4.0899
angles (deg): 90.00 90.00 120.00
Fractional coordinates of all 21 atoms:
Pu1 0.0000 0.0000 0.0000
Pu2 0.3333 0.6667 0.5000
Al1 0.0161 0.2877 0.5000
Al2 0.1582 0.7646 0.0000
Al3 0.2354 0.3935 0.0000
Al4 0.2717 0.9839 0.5000
Al5 0.3768 0.2036 0.0000
Al6 0.5425 0.4051 0.5000
Al7 0.5949 0.1374 0.5000
Al8 0.6065 0.8418 0.0000
Al9 0.7123 0.7283 0.5000
Al10 0.7964 0.1732 0.0000
Al11 0.8268 0.6232 0.0000
Al12 0.8626 0.4575 0.5000
Ir1 0.0217 0.4640 0.0000
Ir2 0.2452 0.2383 0.5000
Ir3 0.4422 0.9783 0.0000
Ir4 0.5360 0.5578 0.0000
Ir5 0.6667 0.3333 0.0000
Ir6 0.7617 0.0069 0.5000
Ir7 0.9931 0.7548 0.5000

Calculated values
* density of states at the Fermi level: 28.8 states/eV/cell
* SG: P-6, No. 174
* raw total energy: -7.214 eV per atom



No. 7
## CaMnRe (PBE)

Data for crystalline CaMnRe at its relaxed geometry.

a b c (Å): 4.2743 4.2743 4.2743
angles (deg): 60.00 60.00 60.00
Fractional coordinates of all 3 atoms:
Ca1 0.0000 0.0000 0.0000
Mn1 0.2500 0.2500 0.2500
Re1 0.5000 0.5000 0.5000

Calculated values
* density of states at the Fermi level: 4.0 states/eV/cell
* SG: F-43m, No. 216
* raw total energy: -6.845 eV per atom
* energy above the most stable polymorph in this dataset: 58.0 kJ per mole of atoms



No. 8
## Dy3OsO6 (PBE)

Data for crystalline Dy3OsO6 at its relaxed geometry.

a b c (Å): 7.1298 7.1298 5.6259
angles (deg): 90.00 90.00 103.20
Fractional coordinates of all 20 atoms:
Dy1 0.0981 0.9019 0.5000
Dy2 0.1998 0.4041 0.4480
Dy3 0.4041 0.1998 0.9480
Dy4 0.5959 0.8002 0.4480
Dy5 0.8002 0.5959 0.9480
Dy6 0.9019 0.0981 0.0000
Os1 0.2907 0.7093 0.9303
Os2 0.7093 0.2907 0.4303
O1 0.0769 0.6003 0.6984
O2 0.1413 0.1756 0.7213
O3 0.1756 0.1413 0.2213
O4 0.2843 0.7157 0.2568
O5 0.3997 0.9231 0.6984
O6 0.4437 0.5563 0.7024
O7 0.5563 0.4437 0.2024
O8 0.6003 0.0769 0.1984
O9 0.7157 0.2843 0.7568
O10 0.8244 0.8587 0.7213
O11 0.8587 0.8244 0.2213
O12 0.9231 0.3997 0.1984

Calculated values
* density of states at the Fermi level: 2.7 states/eV/cell
* SG: Cmc2_1, No. 36
* raw total energy: -8.103 eV per atom



No. 9
## Ta6Nb12Re (PBE)

Data for crystalline Ta6Nb12Re at its relaxed geometry.

a b c (Å): 7.1045 7.1045 7.1045
angles (deg): 88.81 88.81 88.81
Fractional coordinates of all 19 atoms:
Ta1 0.2332 0.7585 0.3862
Ta2 0.2415 0.6138 0.7668
Ta3 0.3862 0.2332 0.7585
Ta4 0.6138 0.7668 0.2415
Ta5 0.7585 0.3862 0.2332
Ta6 0.7668 0.2415 0.6138
Nb1 0.0196 0.3117 0.9213
Nb2 0.0787 0.9804 0.6883
Nb3 0.1206 0.3542 0.4394
Nb4 0.3117 0.9213 0.0196
Nb5 0.3542 0.4394 0.1206
Nb6 0.4394 0.1206 0.3542
Nb7 0.5606 0.8794 0.6458
Nb8 0.6458 0.5606 0.8794
Nb9 0.6883 0.0787 0.9804
Nb10 0.8794 0.6458 0.5606
Nb11 0.9213 0.0196 0.3117
Nb12 0.9804 0.6883 0.0787
Re1 0.5000 0.5000 0.5000

Calculated values
* density of states at the Fermi level: 17.4 states/eV/cell
* SG: R-3, No. 148
* raw total energy: -10.651 eV per atom



No. 10
## TbScSi (PBE)

Data for crystalline TbScSi at its relaxed geometry.

a b c (Å): 4.5500 4.6286 6.8837
angles (deg): 90.00 109.31 90.00
Fractional coordinates of all 6 atoms:
Tb1 0.1066 0.2500 0.2122
Tb2 0.8934 0.7500 0.7878
Sc1 0.3851 0.2500 0.7706
Sc2 0.6149 0.7500 0.2294
Si1 0.2496 0.7500 0.5002
Si2 0.7504 0.2500 0.4998

Calculated values
* density of states at the Fermi level: 4.5 states/eV/cell
* SG: P2_1/m, No. 11
* raw total energy: -5.824 eV per atom
* energy above the most stable polymorph in this dataset: 26.3 kJ per mole of atoms



No. 11
## CdGeSbO6 (PBE)

Data for crystalline CdGeSbO6 at its relaxed geometry.

a b c (Å): 5.2213 5.2213 9.6020
angles (deg): 90.00 90.00 120.00
Fractional coordinates of all 18 atoms:
Cd1 0.0000 0.0000 0.0000
Cd2 0.0000 0.0000 0.5000
Ge1 0.3333 0.6667 0.2500
Ge2 0.6667 0.3333 0.7500
Sb1 0.3333 0.6667 0.7500
Sb2 0.6667 0.3333 0.2500
O1 0.0129 0.3726 0.1397
O2 0.0129 0.6403 0.3603
O3 0.3597 0.3726 0.3603
O4 0.3597 0.9871 0.1397
O5 0.3726 0.0129 0.6397
O6 0.3726 0.3597 0.8603
O7 0.6274 0.6403 0.1397
O8 0.6274 0.9871 0.3603
O9 0.6403 0.0129 0.8603
O10 0.6403 0.6274 0.6397
O11 0.9871 0.3597 0.6397
O12 0.9871 0.6274 0.8603

Calculated values
* density of states at the Fermi level: 11.0 states/eV/cell
* SG: P-31c, No. 163
* raw total energy: -5.619 eV per atom



No. 12
## Tb2Nd4Sm2Ho (PBE)

Data for crystalline Tb2Nd4Sm2Ho at its relaxed geometry.

a b c (Å): 8.1172 8.1172 8.0874
angles (deg): 107.58 107.58 36.87
Fractional coordinates of all 9 atoms:
Tb1 0.1666 0.1666 0.9998
Tb2 0.8334 0.8334 0.0002
Nd1 0.0548 0.0548 0.3312
Nd2 0.2780 0.2780 0.6690
Nd3 0.7220 0.7220 0.3310
Nd4 0.9452 0.9452 0.6688
Sm1 0.3885 0.3885 0.3303
Sm2 0.6115 0.6115 0.6697
Ho1 0.5000 0.5000 0.0000

Calculated values
* density of states at the Fermi level: 14.0 states/eV/cell
* SG: C2/m, No. 12
* raw total energy: -4.688 eV per atom



No. 13
## ZrNbNi10 (PBE)

Data for crystalline ZrNbNi10 at its relaxed geometry.

a b c (Å): 3.9670 4.7008 8.1336
angles (deg): 90.00 90.00 90.00
Fractional coordinates of all 12 atoms:
Zr1 0.0000 0.0000 0.0000
Nb1 0.0000 0.5000 0.5000
Ni1 0.0000 0.0000 0.3374
Ni2 0.0000 0.0000 0.6626
Ni3 0.0000 0.5000 0.1716
Ni4 0.0000 0.5000 0.8284
Ni5 0.5000 0.0000 0.5000
Ni6 0.5000 0.2524 0.2537
Ni7 0.5000 0.2524 0.7463
Ni8 0.5000 0.5000 0.0000
Ni9 0.5000 0.7476 0.2537
Ni10 0.5000 0.7476 0.7463

Calculated values
* density of states at the Fermi level: 17.6 states/eV/cell
* SG: Pmmm, No. 47
* raw total energy: -6.531 eV per atom



No. 14
## Ac2TlAg2 (PBE)

Data for crystalline Ac2TlAg2 at its relaxed geometry.

a b c (Å): 6.5313 6.5313 11.6143
angles (deg): 115.09 115.09 43.93
Fractional coordinates of all 10 atoms:
Ac1 0.0168 0.0168 0.3373
Ac2 0.1916 0.1916 0.1047
Ac3 0.8084 0.8084 0.8953
Ac4 0.9832 0.9832 0.6627
Tl1 0.2756 0.2756 0.6541
Tl2 0.7244 0.7244 0.3459
Ag1 0.3678 0.3678 0.4362
Ag2 0.4720 0.4720 0.1087
Ag3 0.5280 0.5280 0.8913
Ag4 0.6322 0.6322 0.5638

Calculated values
* density of states at the Fermi level: 10.4 states/eV/cell
* SG: C2/m, No. 12
* raw total energy: -3.518 eV per atom
* energy above the most stable polymorph in this dataset: 5.4 kJ per mole of atoms



No. 15
## Al2TcW2 (PBE)

Data for crystalline Al2TcW2 at its relaxed geometry.

a b c (Å): 6.6929 6.6929 3.3689
angles (deg): 90.00 90.00 90.00
Fractional coordinates of all 10 atoms:
Al1 0.1308 0.3692 0.0000
Al2 0.3692 0.8692 0.0000
Al3 0.6308 0.1308 0.0000
Al4 0.8692 0.6308 0.0000
Tc1 0.0000 0.0000 0.0000
Tc2 0.5000 0.5000 0.0000
W1 0.1689 0.6689 0.5000
W2 0.3311 0.1689 0.5000
W3 0.6689 0.8311 0.5000
W4 0.8311 0.3311 0.5000

Calculated values
* density of states at the Fermi level: 8.1 states/eV/cell
* SG: P4/mbm, No. 127
* raw total energy: -8.576 eV per atom



No. 16
## TlBRh3 (PBE)

Data for crystalline TlBRh3 at its relaxed geometry.

a b c (Å): 5.8195 5.8195 4.9625
angles (deg): 90.00 90.00 120.00
Fractional coordinates of all 10 atoms:
Tl1 0.3333 0.6667 0.2500
Tl2 0.6667 0.3333 0.7500
B1 0.0000 0.0000 0.0000
B2 0.0000 0.0000 0.5000
Rh1 0.1685 0.3371 0.7500
Rh2 0.1685 0.8315 0.7500
Rh3 0.3371 0.1685 0.2500
Rh4 0.6629 0.8315 0.7500
Rh5 0.8315 0.1685 0.2500
Rh6 0.8315 0.6629 0.2500

Calculated values
* density of states at the Fermi level: 7.6 states/eV/cell
* SG: P6_3/mmc, No. 194
* raw total energy: -6.377 eV per atom



No. 17
## ZrHgAu4 (PBE)

Data for crystalline ZrHgAu4 at its relaxed geometry.

a b c (Å): 5.5213 5.5213 5.5213
angles (deg): 60.00 60.00 60.00
Fractional coordinates of all 6 atoms:
Zr1 0.0000 0.0000 0.0000
Hg1 0.2500 0.2500 0.2500
Au1 0.1246 0.6251 0.6251
Au2 0.6251 0.1246 0.6251
Au3 0.6251 0.6251 0.1246
Au4 0.6251 0.6251 0.6251

Calculated values
* density of states at the Fermi level: 3.3 states/eV/cell
* SG: F-43m, No. 216
* raw total energy: -3.733 eV per atom



No. 18
## BaZnTcN2 (PBE)

Data for crystalline BaZnTcN2 at its relaxed geometry.

a b c (Å): 4.5565 4.5565 6.3319
angles (deg): 90.00 90.00 90.00
Fractional coordinates of all 5 atoms:
Ba1 0.0000 0.0000 0.0000
Zn1 0.5000 0.5000 0.5000
Tc1 0.0000 0.0000 0.5000
N1 0.0000 0.5000 0.0000
N2 0.5000 0.0000 0.0000

Calculated values
* density of states at the Fermi level: 4.9 states/eV/cell
* SG: P4/mmm, No. 123
* raw total energy: -3.575 eV per atom



No. 19
## LiPuGa4Pd2 (PBE)

Data for crystalline LiPuGa4Pd2 at its relaxed geometry.

a b c (Å): 8.8669 8.8669 8.8669
angles (deg): 28.32 28.32 28.32
Fractional coordinates of all 8 atoms:
Li1 0.0000 0.0000 0.0000
Pu1 0.5000 0.5000 0.5000
Ga1 0.1027 0.1027 0.1027
Ga2 0.3731 0.3731 0.3731
Ga3 0.6269 0.6269 0.6269
Ga4 0.8973 0.8973 0.8973
Pd1 0.2671 0.2671 0.2671
Pd2 0.7329 0.7329 0.7329

Calculated values
* density of states at the Fermi level: 12.1 states/eV/cell
* SG: R-3m, No. 166
* raw total energy: -5.343 eV per atom



No. 20
## Cd3P (PBE)

Data for crystalline Cd3P at its relaxed geometry.

a b c (Å): 5.2450 5.2450 5.2450
angles (deg): 113.40 113.40 113.40
Fractional coordinates of all 4 atoms:
Cd1 0.0000 0.5000 0.5000
Cd2 0.5000 0.0000 0.5000
Cd3 0.5000 0.5000 0.0000
P1 0.0000 0.0000 0.0000

Calculated values
* density of states at the Fermi level: 2.6 states/eV/cell
* SG: R-3m, No. 166
* raw total energy: -1.770 eV per atom
* energy above the most stable polymorph in this dataset: 17.3 kJ per mole of atoms



No. 21
## PmY2Bi (PBE)

Data for crystalline PmY2Bi at its relaxed geometry.

a b c (Å): 4.9480 4.9480 4.8417
angles (deg): 90.00 90.00 90.00
Fractional coordinates of all 4 atoms:
Pm1 0.0000 0.0000 0.0000
Y1 0.0000 0.5000 0.5000
Y2 0.5000 0.0000 0.5000
Bi1 0.5000 0.5000 0.0000

Calculated values
* density of states at the Fermi level: 5.0 states/eV/cell
* SG: P4/mmm, No. 123
* raw total energy: -5.759 eV per atom
* energy above the most stable polymorph in this dataset: 9.2 kJ per mole of atoms



No. 22
## Sc2TcH (PBE)

Data for crystalline Sc2TcH at its relaxed geometry.

a b c (Å): 5.4367 5.4367 5.4367
angles (deg): 111.85 111.85 104.82
Fractional coordinates of all 8 atoms:
Sc1 0.0393 0.6250 0.9143
Sc2 0.3750 0.2893 0.4143
Sc3 0.7107 0.1250 0.0857
Sc4 0.8750 0.9607 0.5857
Tc1 0.2500 0.7500 0.5000
Tc2 0.5000 0.5000 0.0000
H1 0.0000 0.0000 0.0000
H2 0.7500 0.2500 0.5000

Calculated values
* density of states at the Fermi level: 6.5 states/eV/cell
* SG: I-42d, No. 122
* raw total energy: -6.625 eV per atom
* energy above the most stable polymorph in this dataset: 2.1 kJ per mole of atoms



No. 23
## GeTe2C (PBE)

Data for crystalline GeTe2C at its relaxed geometry.

a b c (Å): 7.5332 7.5332 7.5332
angles (deg): 34.93 34.93 34.93
Fractional coordinates of all 4 atoms:
Ge1 0.0000 0.0000 0.0000
Te1 0.4078 0.4078 0.4078
Te2 0.5922 0.5922 0.5922
C1 0.5000 0.5000 0.5000

Calculated values
* density of states at the Fermi level: 3.0 states/eV/cell
* SG: R-3m, No. 166
* raw total energy: -3.916 eV per atom
* energy above the most stable polymorph in this dataset: 6.2 kJ per mole of atoms